1.
A plane-wave DFT calculation with PBE was carried out for a relaxed structure of Pr2Zn3InAu4.

Cell and atoms, written as extended XYZ:
```
10
Lattice="-1.179 4.049 0.745 -4.083 -1.249 0.327 1.448 -1.706 11.565" Properties=species:S:1:pos:R:3 pbc="T T T"
In -1.907 0.547 6.318
Zn 0.724 -0.853 5.782
Zn -1.852 -0.848 1.677
Zn 0.669 0.542 10.423
Au -1.539 -1.217 4.178
Au 0.000 0.000 0.000
Au 0.355 0.911 7.922
Au -2.631 1.400 0.536
Pr -0.939 -1.925 8.975
Pr -0.245 1.618 3.125
```

Calculated values
* size of the total moment: 0.0 μB per formula unit
* volume: 216 Å³/cell
* calculated formation energy: -0.525 eV per atom
* space group: No. 115

=====

2.
A plane-wave DFT calculation with PBE was carried out for a relaxed structure of Pr2Zn4InAu3.

Cell and atoms, written as extended XYZ:
```
10
Lattice="-1.734 -3.684 1.339 3.871 -1.382 1.213 -1.647 4.587 10.486" Properties=species:S:1:pos:R:3 pbc="T T T"
Zn 1.349 0.942 4.339
Zn -1.928 1.112 7.423
Zn 1.069 -2.533 1.276
Zn 0.000 0.000 0.000
Au -0.824 2.293 5.243
Au -2.290 2.121 9.728
Au 1.711 -0.066 2.034
In 0.245 -0.239 6.519
Pr 0.690 2.778 8.536
Pr -1.269 -0.723 3.226
```

Calculated values
* size of the total moment: 0.0 μB per formula unit
* volume: 212 Å³/cell
* calculated formation energy: -0.495 eV per atom
* space group: No. 115

=====

3.
A plane-wave DFT calculation with PBE was carried out for a relaxed structure of Pr2ZnInAu6.

Cell and atoms, written as extended XYZ:
```
10
Lattice="5.541 -0.195 0.046 -0.364 9.469 0.310 2.688 4.571 4.551" Properties=species:S:1:pos:R:3 pbc="T T T"
Au 4.005 6.968 0.976
Au 2.580 3.036 2.450
Au 5.286 10.809 2.458
Au 3.861 6.877 3.932
Au 1.244 7.208 0.417
Au 6.622 6.637 4.491
Pr 2.431 9.296 2.477
Pr 5.435 4.550 2.431
Zn 0.000 0.000 0.000
In 2.589 4.637 0.178
```

Calculated values
* size of the total moment: 0.0 μB per formula unit
* volume: 229 Å³/cell
* calculated formation energy: -0.446 eV per atom
* space group: No. 2